Here is BaBeAl after structural relaxation from Alexandria via LeMat-Bulk. Energies are from PBE.

POSCAR file:
```
BaBeAl
1.0
4.254 0.000 0.000
-2.127 3.684 0.000
0.000 0.000 5.254
Ba Be Al
1 1 1
direct
0.000 0.000 0.000 Ba
0.667 0.333 0.500 Be
0.333 0.667 0.500 Al
```

Results
final energy: -0.2173 Ry/atom
energy above the most stable polymorph in this dataset: 0.234 eV/atom
calculated formation energy: 0.5 eV per formula unit
symmetry: No. 187

---

Here is La4Pr4Er after structural relaxation from Alexandria via LeMat-Bulk. Energies are from PBE.

POSCAR file:
```
La4Pr4Er
1.0
5.855 -2.624 0.000
5.855 2.624 0.000
-3.580 0.000 10.512
La Pr Er
4 4 1
direct
0.163 0.163 0.219 La
0.169 0.169 0.557 La
0.831 0.831 0.443 La
0.837 0.837 0.781 La
0.169 0.169 0.891 Pr
0.498 0.498 0.330 Pr
0.502 0.502 0.670 Pr
0.831 0.831 0.109 Pr
0.500 0.500 0.000 Er
```

Results
final energy: -0.3532 Ry/atom
calculated formation energy: 0.1 eV per formula unit
symmetry: No. 12

---

Here is InFe2RuC after structural relaxation from Alexandria via LeMat-Bulk. Energies are from PBE.

POSCAR file:
```
InFe2RuC
1.0
3.912 0.000 0.000
0.000 3.912 0.000
0.000 0.000 4.101
In Fe Ru C
1 2 1 1
direct
0.000 0.000 0.000 In
0.000 0.500 0.500 Fe
0.500 0.000 0.500 Fe
0.500 0.500 0.000 Ru
0.500 0.500 0.500 C
```

Results
final energy: -0.5555 Ry/atom
calculated formation energy: 0.4 eV per formula unit
symmetry: No. 123

---

Here is Sc2PdCl after structural relaxation from Alexandria via LeMat-Bulk. Energies are from PBE.

POSCAR file:
```
Sc2PdCl
1.0
2.005 1.158 7.594
-2.005 1.158 7.594
0.000 -2.315 7.594
Sc Pd Cl
2 1 1
direct
0.109 0.109 0.109 Sc
0.891 0.891 0.891 Sc
0.500 0.500 0.500 Pd
0.000 0.000 0.000 Cl
```

Results
final energy: -0.4320 Ry/atom
energy above the most stable polymorph in this dataset: 0.000 eV/atom
symmetry: No. 166
raw formation energy: -0.9514 eV per atom

---

Here is La2NdMg3 after structural relaxation from Alexandria via LeMat-Bulk. Energies are from PBE.

POSCAR file:
```
La2NdMg3
1.0
3.937 0.000 0.000
0.000 3.937 0.000
0.000 0.000 11.840
La Nd Mg
2 1 3
direct
0.000 0.000 0.169 La
0.000 0.000 0.831 La
0.000 0.000 0.500 Nd
0.500 0.500 0.000 Mg
0.500 0.500 0.339 Mg
0.500 0.500 0.661 Mg
```

Results
final energy: -0.2460 Ry/atom
calculated formation energy: -0.7 eV per formula unit
symmetry: No. 123

---

Here is Ti5Co6 after structural relaxation from Alexandria via LeMat-Bulk. Energies are from PBE.

POSCAR file:
```
Ti5Co6
1.0
-1.997 3.099 6.022
1.997 -3.099 6.022
1.997 3.099 -6.022
Ti Co
5 6
direct
0.000 0.000 0.000 Ti
0.175 0.675 0.500 Ti
0.357 0.357 0.000 Ti
0.643 0.643 0.000 Ti
0.825 0.325 0.500 Ti
0.069 0.830 0.239 Co
0.228 0.500 0.728 Co
0.409 0.170 0.239 Co
0.591 0.830 0.761 Co
0.772 0.500 0.272 Co
0.931 0.170 0.761 Co
```

Results
final energy: -0.5651 Ry/atom
calculated formation energy: -2.5 eV per formula unit
symmetry: No. 71